DFT (PBE) results for an optimized crystal structure of CsSnSbBr6.

Structure (POSCAR):
```
CsSnSbBr6
1.0
7.6040 0.0000 0.0000
-3.8020 6.5852 0.0000
0.0000 0.0000 8.0850
Cs Sn Sb Br
1 1 1 6
Direct
0.0000 0.0000 0.0000
0.6667 0.3333 0.5000
0.3333 0.6667 0.5000
0.0173 0.3836 0.7092
0.0173 0.6337 0.2908
0.3663 0.3836 0.2908
0.3663 0.9827 0.7092
0.6164 0.6337 0.7092
0.6164 0.9827 0.2908
```

Properties
raw total energy: -3.061 eV/atom
density: 3498 kg/m³
SG: P312, No. 149